[1]
Entry from Alexandria via LeMat-Bulk: a relaxed structure of BaCd2Sn (PBE).

Output
Energy of formation = -4.18 kcal/mol of atoms
Total magnetic moment = 0.00 μB per formula unit

Unit cell a=5.3700 b=5.3700 c=20.5774 alpha=90.00 beta=90.00 gamma=90.00
Closest atoms and distances in Å follow each position.
Space group I-42d (No. 122)
Asymmetric unit:
Ba 0.0000 0.0000 0.0000 (multiplicity 4)  4 Cd 3.66, 4 Sn 3.80
Cd 0.0854 0.2500 0.6250 (multiplicity 8)  2 Cd 2.84, 2 Sn 2.94
Sn 0.0000 0.0000 0.5000 (multiplicity 4)  4 Cd 2.94

[2]
Entry from Alexandria via LeMat-Bulk: a relaxed structure of Tl2ReTc (PBE).

Output
Excess energy over the best structure of this formula in the dataset = 0.6080 eV/atom
Energy of formation = 23.49 kcal/mol of atoms
Total magnetic moment = 0.00 μB per formula unit

Unit cell a=3.0683 b=3.0683 c=27.3356 alpha=90.00 beta=90.00 gamma=120.00
Closest atoms and distances in Å follow each position.
Space group R-3m (No. 166, hexagonal axes)
Asymmetric unit:
Tl 0.0000 0.0000 0.2491 (multiplicity 6)  3 Tc 2.87, 3 Re 2.91, 6 Tl 3.07
Re 0.0000 0.0000 0.0000 (multiplicity 3)  6 Tl 2.91, 6 Re 3.07
Tc 0.0000 0.0000 0.5000 (multiplicity 3)  6 Tl 2.87, 6 Tc 3.07

[3]
Entry from Alexandria via LeMat-Bulk: a relaxed structure of Ba2Ac5Sn4 (PBE).

Output
Energy of formation = -7.88 kcal/mol of atoms
Total magnetic moment = 0.00 μB per formula unit

Unit cell a=15.2372 b=7.6708 c=10.4625 alpha=90.00 beta=130.42 gamma=90.00
Closest atoms and distances in Å follow each position.
Space group C2/m (No. 12)
Asymmetric unit:
Ba 0.2022 0.0000 0.2496 (multiplicity 4)  4 Sn 3.65-3.99
Ac 0.0000 0.5000 0.0000 (multiplicity 2)  4 Sn 3.35-3.52
Ac 0.0296 0.2403 0.7003 (multiplicity 8)  4 Sn 3.35-3.72, 2 Ac 3.67-3.69
Sn 0.2083 0.0000 0.6316 (multiplicity 4)  1 Sn 3.03
Sn 0.2331 0.5000 0.0310 (multiplicity 4)  1 Sn 3.03, 3 Ac 3.35